# PBE Pr3As2I, relaxed
data_Pr3As2I
_space_group_name_H-M_alt 'I m m a'
_space_group_IT_number 74
_space_group_name_Hall '-I 2b 2'
_cell_length_a 7.962
_cell_length_b 12.261
_cell_length_c 8.608
_cell_angle_alpha 90.00
_cell_angle_beta 90.00
_cell_angle_gamma 90.00
loop_
_atom_site_label
_atom_site_type_symbol
_atom_site_fract_x
_atom_site_fract_y
_atom_site_fract_z
Pr1 Pr 0.238 0.000 0.000
Pr2 Pr 0.250 0.250 0.250
As1 As 0.000 0.060 0.273
I1 I 0.000 0.250 0.915
# **Uncorrected formation energy**: -999 meV per atom
# **Density**: 5.53 g/cm3